Compound: Cr3HPt
Source: Alexandria
Functional: PBEsol
Structure: relaxed

Cell lengths 3.6914, 3.6914, 3.6914 Å; angles 90.00, 90.00, 90.00 degrees
Atoms (fractional coordinates):
Cr: 0.0000 0.0000 0.5000
Cr: 0.0000 0.5000 0.0000
Cr: 0.5000 0.0000 0.0000
H: 0.0000 0.0000 0.0000
Pt: 0.5000 0.5000 0.5000

SG: Pm-3m (221)
ρ (Mg/m³): 11.62
Final energy (eV for the cell shown): -41.41

Compound: CrHPtRh2
Source: Alexandria
Functional: PBEsol
Structure: relaxed

Cell lengths 3.8181, 3.8181, 3.8528 Å; angles 90.00, 90.00, 90.00 degrees
Atoms (fractional coordinates):
Cr: 0.0000 0.0000 0.0000
H: 0.0000 0.0000 0.5000
Pt: 0.5000 0.5000 0.0000
Rh: 0.0000 0.5000 0.5000
Rh: 0.5000 0.0000 0.5000

SG: P4/mmm (123)
ρ (Mg/m³): 13.42
Final energy (eV for the cell shown): -37.45

Compound: CrReH2
Source: Alexandria
Functional: PBEsol
Structure: relaxed

Cell lengths 5.0435, 5.0435, 5.0435 Å; angles 90.00, 90.00, 90.00 degrees
Atoms (fractional coordinates):
Cr: 0.0000 0.0000 0.0000
Cr: 0.0000 0.5000 0.5000
Cr: 0.5000 0.0000 0.5000
Cr: 0.5000 0.5000 0.0000
Re: 0.0000 0.0000 0.5000
Re: 0.0000 0.5000 0.0000
Re: 0.5000 0.0000 0.0000
Re: 0.5000 0.5000 0.5000
H: 0.2500 0.2500 0.2500
H: 0.2500 0.2500 0.7500
H: 0.2500 0.7500 0.2500
H: 0.2500 0.7500 0.7500
H: 0.7500 0.2500 0.2500
H: 0.7500 0.2500 0.7500
H: 0.7500 0.7500 0.2500
H: 0.7500 0.7500 0.7500

SG: Fm-3m (225)
ρ (Mg/m³): 12.44
Final energy (eV for the cell shown): -107.75

Compound: Cr2ReH
Source: Alexandria
Functional: PBEsol
Structure: relaxed

Cell lengths 5.6601, 5.6601, 5.6601 Å; angles 90.00, 90.00, 90.00 degrees
Atoms (fractional coordinates):
Cr: 0.2500 0.2500 0.2500
Cr: 0.2500 0.2500 0.7500
Cr: 0.2500 0.7500 0.2500
Cr: 0.2500 0.7500 0.7500
Cr: 0.7500 0.2500 0.2500
Cr: 0.7500 0.2500 0.7500
Cr: 0.7500 0.7500 0.2500
Cr: 0.7500 0.7500 0.7500
Re: 0.0000 0.0000 0.0000
Re: 0.0000 0.5000 0.5000
Re: 0.5000 0.0000 0.5000
Re: 0.5000 0.5000 0.0000
H: 0.0000 0.0000 0.5000
H: 0.0000 0.5000 0.0000
H: 0.5000 0.0000 0.0000
H: 0.5000 0.5000 0.5000

SG: Fm-3m (225)
ρ (Mg/m³): 10.67
Final energy (eV for the cell shown): -135.73

Compound: Cr3ReH
Source: Alexandria
Functional: PBEsol
Structure: relaxed

Cell lengths 3.6956, 3.6956, 3.6956 Å; angles 90.00, 90.00, 90.00 degrees
Atoms (fractional coordinates):
Cr: 0.0000 0.0000 0.5000
Cr: 0.0000 0.5000 0.0000
Cr: 0.5000 0.0000 0.0000
Re: 0.5000 0.5000 0.5000
H: 0.0000 0.0000 0.0000

SG: Pm-3m (221)
ρ (Mg/m³): 11.29
Final energy (eV for the cell shown): -46.66

Compound: CrReSiH2
Source: Alexandria
Functional: PBEsol
Structure: relaxed

Cell lengths 3.4543, 3.4543, 4.6630 Å; angles 90.00, 90.00, 90.00 degrees
Atoms (fractional coordinates):
Cr: 0.0000 0.0000 0.0000
Re: 0.5000 0.5000 0.5000
Si: 0.5000 0.5000 0.0000
H: 0.0000 0.5000 0.5000
H: 0.5000 0.0000 0.5000

SG: P4/mmm (123)
ρ (Mg/m³): 8.01
Final energy (eV for the cell shown): -32.68